Entry 1:
Here is a relaxed structure of Be2PH from Alexandria. Energies are from PBE.

a = 3.9441 Å, b = 3.9535 Å, c = 5.7650 Å
α = 106.43°, β = 95.48°, γ = 90.17°
Atoms (fractional coordinates):
Be 0.5085 0.3129 0.6462
Be 0.4915 0.6871 0.3538
Be 0.2638 0.0596 0.8785
Be 0.7362 0.9404 0.1215
P 0.7491 0.8409 0.7279
P 0.2509 0.1591 0.2721
H 0.7497 0.6154 0.1852
H 0.2503 0.3846 0.8148

**Offset from the most stable computed form**: 22.6 meV/atom
**N(E_F)**: 0.0 states/eV/cell
**VASP energy**: -33.7 eV/cell

***

Entry 2:
Here is a relaxed structure of Y2NbFe from Alexandria. Energies are from PBE.

a = 4.9801 Å, b = 4.9801 Å, c = 4.9801 Å
α = 60.00°, β = 60.00°, γ = 60.00°
Atoms (fractional coordinates):
Y 0.2500 0.2500 0.2500
Y 0.7500 0.7500 0.7500
Nb 0.5000 0.5000 0.5000
Fe 0.0000 0.0000 0.0000

**Offset from the most stable computed form**: 0.0 meV/atom
**N(E_F)**: 6.1 states/eV/cell
**VASP energy**: -29.3 eV/cell
**Energy relative to the elements**: 0.534 eV/atom

***

Entry 3:
Here is a relaxed structure of Ni2POs from Alexandria. Energies are from PBE.

a = 7.7351 Å, b = 7.7351 Å, c = 7.7351 Å
α = 20.48°, β = 20.48°, γ = 20.48°
Atoms (fractional coordinates):
Ni 0.9923 0.9923 0.9923
Ni 0.7475 0.7475 0.7475
P 0.2535 0.2535 0.2535
Os 0.5067 0.5067 0.5067

**Offset from the most stable computed form**: 151.5 meV/atom
**N(E_F)**: 5.3 states/eV/cell
**VASP energy**: -28.0 eV/cell
**Energy relative to the elements**: 0.056 eV/atom

***

Entry 4:
Here is a relaxed structure of Tl2TcRu from Alexandria. Energies are from PBE.

a = 3.0345 Å, b = 3.0341 Å, c = 8.8624 Å
α = 90.00°, β = 90.00°, γ = 90.00°
Atoms (fractional coordinates):
Ru 0.0000 0.0000 0.5455
Tc 0.5000 0.5000 0.7037
Tl 0.0000 0.0000 0.9565
Tl 0.5000 0.5000 0.2943

**Offset from the most stable computed form**: 0.0 meV/atom
**N(E_F)**: 4.1 states/eV/cell
**VASP energy**: -22.8 eV/cell
**Energy relative to the elements**: 0.392 eV/atom

***

Entry 5:
Here is a relaxed structure of Sr3V3N5 from Alexandria. Energies are from PBE.

a = 5.8175 Å, b = 7.6342 Å, c = 8.5941 Å
α = 109.86°, β = 104.31°, γ = 99.51°
Atoms (fractional coordinates):
Sr 0.7613 0.4307 0.5995
Sr 0.2387 0.5693 0.4005
Sr 0.6539 0.8474 0.8908
Sr 0.3461 0.1526 0.1092
Sr 0.6782 0.6879 0.2290
Sr 0.3218 0.3121 0.7710
V 0.9055 0.3171 0.9689
V 0.0945 0.6829 0.0311
V 0.6857 0.9899 0.6024
V 0.3143 0.0101 0.3976
V 0.0806 0.8743 0.6971
V 0.9194 0.1257 0.3029
N 0.9816 0.1006 0.8142
N 0.0184 0.8994 0.1858
N 0.7434 0.7368 0.5427
N 0.2566 0.2632 0.4573
N 0.7669 0.5157 0.9178
N 0.2331 0.4843 0.0822
N 0.3456 0.9401 0.6078
N 0.6544 0.0599 0.3922
N 0.1764 0.7646 0.8580
N 0.8236 0.2354 0.1420

**Formation energy (no corrections)**: -0.914 eV per atom
**N(E_F)**: 11.3 states/eV/cell
**VASP energy**: -168.2 eV/cell

***

Entry 6:
Here is a relaxed structure of PIO3 from Alexandria. Energies are from PBE.

a = 3.8383 Å, b = 3.8383 Å, c = 3.8383 Å
α = 90.00°, β = 90.00°, γ = 90.00°
Atoms (fractional coordinates):
I 0.5000 0.5000 0.5000
P 0.0000 0.0000 0.0000
O 0.0000 0.5000 0.0000
O 0.0000 0.0000 0.5000
O 0.5000 0.0000 0.0000

**Formation energy (no corrections)**: 0.001 eV per atom
**N(E_F)**: 4.6 states/eV/cell
**VASP energy**: -21.8 eV/cell